RbLaMgCl6: optimized geometry, PBE.

Lattice parameters (Å, degrees): 7.0316 7.0316 14.3475 90.00 90.00 120.00
Sites, in units of the cell vectors:
Rb 0.0000 0.0000 0.0000
Rb 0.0000 0.0000 0.5000
La 0.6667 0.3333 0.2500
La 0.3333 0.6667 0.7500
Mg 0.3333 0.6667 0.2500
Mg 0.6667 0.3333 0.7500
Cl 0.6132 0.6410 0.1463
Cl 0.0278 0.3868 0.1463
Cl 0.3868 0.0278 0.6463
Cl 0.9722 0.6132 0.8537
Cl 0.3590 0.3868 0.3537
Cl 0.0278 0.6410 0.3537
Cl 0.6410 0.0278 0.8537
Cl 0.6132 0.9722 0.3537
Cl 0.9722 0.3590 0.6463
Cl 0.3590 0.9722 0.1463
Cl 0.6410 0.6132 0.6463
Cl 0.3868 0.3590 0.8537

Calculated values
formation energy from raw total energies = -2129 meV per atom
E_tot = -4.192 eV/atom
DOS(E_F) = 0.000 states/eV per atom
V = 614 Å³ per cell

LaMgRuCl2: optimized geometry, PBE.

Lattice parameters (Å, degrees): 4.4767 11.4671 4.4767 90.00 90.00 90.00
Last column: magnetic moment on the atom in μB.
Sites, in units of the cell vectors:
Ru 0.5000 0.5000 0.5000  1.07
Mg 0.0000 0.0000 0.0000  0.00
Cl 0.0000 0.0000 0.5000  0.00
Cl 0.5000 0.0000 0.0000  0.00
La 0.0000 0.5000 0.0000  -0.12

Calculated values
formation energy from raw total energies = -181 meV per atom
E_tot = -4.079 eV/atom
DOS(E_F) = 0.292 states/eV per atom
V = 230 Å³ per cell

LaMgTa2Cl: optimized geometry, PBE.

Lattice parameters (Å, degrees): 5.1818 5.4794 5.1818 90.00 90.00 90.00
Last column: magnetic moment on the atom in μB.
Sites, in units of the cell vectors:
Cl 0.0000 0.5000 0.0000  0.03
Mg 0.5000 0.5000 0.5000  -0.01
La 0.0000 0.0000 0.0000  0.06
Ta 0.0000 0.0000 0.5000  0.25
Ta 0.5000 0.0000 0.0000  0.37

Calculated values
formation energy from raw total energies = 1563 meV per atom
E_tot = -4.851 eV/atom
DOS(E_F) = 1.704 states/eV per atom
V = 147 Å³ per cell

LaMn2Cl: optimized geometry, PBE.

Lattice parameters (Å, degrees): 5.8400 5.8400 4.7033 109.32 109.32 33.23
Sites, in units of the cell vectors:
Cl 0.7500 0.7500 0.7500
Mn 0.9702 0.9702 0.1045
Mn 0.5298 0.5298 0.3955
La 0.2500 0.2500 0.2500

Calculated values
formation energy from raw total energies = 65 meV per atom
E_tot = -6.213 eV/atom
energy above the most stable polymorph in this dataset = 1.09 eV/f.u.
DOS(E_F) = 0.740 states/eV per atom
V = 82 Å³ per cell

LaMnCl2: optimized geometry, PBE.

Lattice parameters (Å, degrees): 5.6676 5.6676 7.7245 68.48 68.48 90.00
Last column: magnetic moment on the atom in μB.
Sites, in units of the cell vectors:
Cl 0.5418 0.1250 0.2500  0.00
Cl 0.2082 0.6250 0.2500  0.00
Cl 0.3750 0.4582 0.7500  0.00
Cl 0.8750 0.7918 0.7500  0.00
Mn 0.5000 0.5000 0.0000  3.52
Mn 0.2500 0.7500 0.5000  3.54
La 0.0000 0.0000 0.0000  -0.54
La 0.7500 0.2500 0.5000  -0.54

Calculated values
formation energy from raw total energies = -644 meV per atom
E_tot = -5.091 eV/atom
energy above the most stable polymorph in this dataset = 1.35 eV/f.u.
DOS(E_F) = 0.779 states/eV per atom
V = 212 Å³ per cell

LaMnCl2: optimized geometry, PBE.

Lattice parameters (Å, degrees): 3.6012 3.6012 9.5536 90.00 90.00 120.03
Last column: magnetic moment on the atom in μB.
Sites, in units of the cell vectors:
Cl 0.0000 0.0000 0.0154  0.03
Cl 0.0000 0.0000 0.4846  0.03
Mn 0.5000 0.5000 0.7500  4.36
La 0.5000 0.5000 0.2500  0.00

Calculated values
formation energy from raw total energies = -670 meV per atom
E_tot = -5.118 eV/atom
energy above the most stable polymorph in this dataset = 1.24 eV/f.u.
DOS(E_F) = 0.414 states/eV per atom
V = 107 Å³ per cell

LaMn2Cl: optimized geometry, PBE.

Lattice parameters (Å, degrees): 5.2043 5.2043 5.2043 136.91 112.69 83.33
Last column: magnetic moment on the atom in μB.
Sites, in units of the cell vectors:
Cl 0.5494 0.5494 0.0000  0.01
Mn 0.9416 0.9416 0.0000  -3.24
Mn 0.7553 0.2553 0.5000  3.12
La 0.2538 0.7538 0.5000  -0.03

Calculated values
formation energy from raw total energies = 86 meV per atom
E_tot = -6.192 eV/atom
energy above the most stable polymorph in this dataset = 1.18 eV/f.u.
DOS(E_F) = 1.246 states/eV per atom
V = 86 Å³ per cell

La2MnCl: optimized geometry, PBE.

Lattice parameters (Å, degrees): 5.1117 5.8919 3.3704 90.00 90.00 90.00
Last column: magnetic moment on the atom in μB.
Sites, in units of the cell vectors:
Cl 0.0000 0.5000 0.5000  0.00
La 0.0000 0.0000 0.0000  -0.22
La 0.5000 0.5000 0.0000  -0.10
Mn 0.5000 0.0000 0.5000  3.35

Calculated values
formation energy from raw total energies = -433 meV per atom
E_tot = -5.650 eV/atom
energy above the most stable polymorph in this dataset = 0.58 eV/f.u.
DOS(E_F) = 1.167 states/eV per atom
V = 102 Å³ per cell

LaMn2Cl: optimized geometry, PBE.

Lattice parameters (Å, degrees): 5.8812 5.8812 3.3985 90.00 90.00 123.81
Last column: magnetic moment on the atom in μB.
Sites, in units of the cell vectors:
Cl 0.5000 0.0000 0.5000  0.07
Mn 0.0000 0.0000 0.0000  3.91
Mn 0.5000 0.5000 0.0000  3.91
La 0.0000 0.5000 0.5000  -0.24

Calculated values
formation energy from raw total energies = 198 meV per atom
E_tot = -6.080 eV/atom
energy above the most stable polymorph in this dataset = 1.62 eV/f.u.
DOS(E_F) = 1.123 states/eV per atom
V = 98 Å³ per cell

La2MnCl: optimized geometry, PBE.

Lattice parameters (Å, degrees): 3.5466 3.5466 9.9634 90.00 90.00 90.02
Last column: magnetic moment on the atom in μB.
Sites, in units of the cell vectors:
Cl 0.5000 0.5000 0.7858  0.01
La 0.0000 0.0000 0.9520  0.18
La 0.5000 0.5000 0.2828  -0.30
Mn 0.0000 0.0000 0.4794  3.94

Calculated values
formation energy from raw total energies = -252 meV per atom
E_tot = -5.469 eV/atom
energy above the most stable polymorph in this dataset = 1.30 eV/f.u.
DOS(E_F) = 0.874 states/eV per atom
V = 125 Å³ per cell

La7MnCl12: optimized geometry, PBE.

Lattice parameters (Å, degrees): 10.7331 9.3750 9.3750 106.35 112.43 112.43
Last column: magnetic moment on the atom in μB.
Sites, in units of the cell vectors:
La 0.1108 0.8004 0.0976  0.17
La 0.9868 0.0976 0.2972  0.17
La 0.6895 0.7028 0.8004  0.17
La 0.5000 0.0000 0.0000  0.00
La 0.3105 0.2972 0.1996  0.17
La 0.0132 0.9024 0.7028  0.17
La 0.8892 0.1996 0.9024  0.17
Mn 0.0000 0.0000 0.0000  -0.22
Cl 0.2065 0.5260 0.1274  0.00
Cl 0.9209 0.1274 0.6014  0.00
Cl 0.6319 0.8046 0.0886  0.00
Cl 0.4567 0.0886 0.2840  0.00
Cl 0.3194 0.3986 0.5260  0.00
Cl 0.1727 0.7160 0.8046  0.00
Cl 0.8273 0.2840 0.1955  0.00
Cl 0.6806 0.6014 0.4740  0.00
Cl 0.5433 0.9114 0.7160  0.00
Cl 0.3681 0.1955 0.9114  0.00
Cl 0.0791 0.8726 0.3986  0.00
Cl 0.7935 0.4740 0.8726  0.00

Calculated values
formation energy from raw total energies = -1918 meV per atom
E_tot = -5.209 eV/atom
DOS(E_F) = 0.436 states/eV per atom
V = 698 Å³ per cell

LaMnCl: optimized geometry, PBE.

Lattice parameters (Å, degrees): 4.7383 4.7383 4.7383 60.00 60.00 60.00
Last column: magnetic moment on the atom in μB.
Sites, in units of the cell vectors:
Cl 0.0000 0.0000 0.0000  0.08
La 0.5000 0.5000 0.5000  -0.18
Mn 0.2500 0.2500 0.2500  3.26

Calculated values
formation energy from raw total energies = 164 meV per atom
E_tot = -5.150 eV/atom
DOS(E_F) = 1.447 states/eV per atom
V = 75 Å³ per cell